Density functional theory data (GGA-PBE) for crystalline AlMoOs2 at its relaxed geometry.

a = 2.7704 Å, b = 2.7704 Å, c = 7.6957 Å
α = 90.00°, β = 90.00°, γ = 90.00°
Last column: nearest neighbours and their distance in Å.
Space group P4mm (No. 99)
Asymmetric unit:
1 Al 0.0000 0.0000 0.0000 x1  4 Os 2.69, 4 Al 2.77, 4 Mo 2.82
2 Mo 0.5000 0.5000 0.2627 x1  4 Mo 2.77, 4 Al 2.82, 4 Os 2.83
3 Os 0.0000 0.0000 0.5279 x1  8 Os 2.66-2.77, 4 Mo 2.83
4 Os 0.5000 0.5000 0.7614 x1  8 Os 2.66-2.77, 4 Al 2.69

Summary:
Electronic total energy   -37.21 eV/cell
Total magnetic moment   0.000 μB/atom

=====

Density functional theory data (GGA-PBE) for crystalline AlMoOs2 at its relaxed geometry.

a = 3.0694 Å, b = 4.2899 Å, c = 8.8170 Å
α = 90.00°, β = 90.00°, γ = 90.00°
Last column: nearest neighbours and their distance in Å.
Space group Imm2 (No. 44)
Asymmetric unit:
1 Al 0.0000 0.0000 0.0000 x2  6 Os 2.58-2.64, 2 Mo 2.68
2 Mo 0.0000 0.5000 0.7492 x2  6 Os 2.64-2.70, 2 Al 2.68
3 Os 0.0000 0.0000 0.5009 x2  4 Al 2.64, 2 Mo 2.70, 2 Os 2.78
4 Os 0.0000 0.5000 0.2642 x2  2 Al 2.58, 4 Mo 2.64, 2 Os 2.78

Summary:
Electronic total energy   -74.79 eV/cell
Total magnetic moment   0.000 μB/atom

=====

Density functional theory data (GGA-PBE) for crystalline AlMo2Os at its relaxed geometry.

a = 5.2123 Å, b = 8.3546 Å, c = 2.7873 Å
α = 90.00°, β = 90.00°, γ = 90.00°
Last column: nearest neighbours and their distance in Å.
Space group Cmmm (No. 65)
Asymmetric unit:
1 Al 0.0000 0.0000 0.0000 x2  2 Os 2.61, 2 Al 2.79, 8 Mo 2.83
2 Mo 0.2500 0.2500 0.5000 x4  4 Mo 2.61-2.79, 4 Os 2.83, 4 Al 2.83
3 Os 0.0000 0.5000 0.0000 x2  2 Al 2.61, 2 Os 2.79, 8 Mo 2.83

Summary:
Electronic total energy   -73.30 eV/cell
Total magnetic moment   0.000 μB/atom

=====

Density functional theory data (GGA-PBE) for crystalline AlMo2Os at its relaxed geometry.

a = 6.2154 Å, b = 6.2154 Å, c = 6.2154 Å
α = 90.00°, β = 90.00°, γ = 90.00°
Last column: nearest neighbours and their distance in Å.
Space group F-43m (No. 216)
Asymmetric unit:
1 Al 0.0000 0.0000 0.0000 x4  4 Mo 2.69, 4 Os 2.69
2 Mo 0.0000 0.0000 0.5000 x4  4 Os 2.69, 4 Mo 2.69
3 Mo 0.2500 0.2500 0.7500 x4  4 Mo 2.69, 4 Al 2.69
4 Os 0.2500 0.2500 0.2500 x4  4 Mo 2.69, 4 Al 2.69

Summary:
Electronic total energy   -148.24 eV/cell
Total magnetic moment   0.000 μB/atom

=====

Density functional theory data (GGA-PBE) for crystalline AlMo2Os at its relaxed geometry.

a = 2.8000 Å, b = 2.8000 Å, c = 27.1645 Å
α = 90.00°, β = 90.00°, γ = 120.00°
Last column: nearest neighbours and their distance in Å.
Space group R-3m (No. 166, hexagonal axes)
Asymmetric unit:
1 Al 0.0000 0.0000 0.0000 x3  6 Al 2.80, 6 Mo 2.81
2 Mo 0.0000 0.0000 0.2486 x6  3 Os 2.75, 6 Mo 2.80, 3 Al 2.81
3 Os 0.0000 0.0000 0.5000 x3  6 Mo 2.75, 6 Os 2.80

Summary:
Electronic total energy   -109.29 eV/cell
Total magnetic moment   0.000 μB/atom

=====

Density functional theory data (GGA-PBE) for crystalline AlMo2Os at its relaxed geometry.

a = 3.1075 Å, b = 4.2759 Å, c = 4.5082 Å
α = 90.00°, β = 90.00°, γ = 90.00°
Last column: nearest neighbours and their distance in Å.
Space group Pmmm (No. 47)
Asymmetric unit:
1 Al 0.0000 0.0000 0.0000 x1  4 Os 2.64, 4 Mo 2.74
2 Mo 0.0000 0.5000 0.5000 x1  4 Mo 2.64, 4 Os 2.74
3 Mo 0.5000 0.0000 0.5000 x1  4 Mo 2.64, 4 Al 2.74
4 Os 0.5000 0.5000 0.0000 x1  4 Al 2.64, 4 Mo 2.74

Summary:
Electronic total energy   -37.04 eV/cell
Total magnetic moment   0.000 μB/atom

=====

| no. | energy of formation from the pure elements (eV/f.u.) | Fermi-level density of states (states/eV per cell) |
| --- | --- | --- |
| 1 | -0.18 | 4.009 |
| 2 | -0.36 | 4.236 |
| 3 | -0.02 | 8.536 |
| 4 | -0.43 | 11.727 |
| 5 | 0.20 | 10.013 |
| 6 | -0.40 | 3.023 |